1.
Below is crystalline Zn2GeRu at its relaxed geometry, with properties calculated at the PBE level.

a = 7.2948 Å, b = 7.2948 Å, c = 5.7276 Å
α = 50.45°, β = 50.45°, γ = 90.00°
With the nearest neighbours (Å) after each atom.
Sites, in units of the cell vectors:
Ru 0.0000 0.0000 0.0000  2 Ge 2.49, 4 Zn 2.59
Ru 0.7500 0.2500 0.5000  2 Ge 2.49, 4 Zn 2.59
Zn 0.3750 0.3632 0.7500  2 Zn 2.50, 2 Ru 2.59, 2 Ge 2.71
Zn 0.6368 0.1250 0.2500  2 Zn 2.50, 2 Ru 2.59, 2 Ge 2.71
Zn 0.8750 0.8868 0.7500  2 Zn 2.50, 2 Ru 2.59, 2 Ge 2.71
Zn 0.1132 0.6250 0.2500  2 Zn 2.50, 2 Ru 2.59, 2 Ge 2.71
Ge 0.5000 0.5000 0.0000  2 Ru 2.49, 4 Zn 2.71
Ge 0.2500 0.7500 0.5000  2 Ru 2.49, 4 Zn 2.71

E_tot: -30.41 eV/cell
ΔE_f: 0.309 eV/atom
SG: I-42d, No. 122

***

2.
Below is crystalline ZrGeRu at its relaxed geometry, with properties calculated at the PBE level.

a = 7.7691 Å, b = 7.7691 Å, c = 7.7691 Å
α = 127.95°, β = 121.79°, γ = 81.85°
With the nearest neighbours (Å) after each atom.
Sites, in units of the cell vectors:
Ge 0.7230 0.4693 0.2463  6 Ru 2.52-2.57, 2 Zr 2.79-2.82
Ge 0.1620 0.1720 0.9994  3 Ru 2.61-2.63, 6 Zr 2.76-2.79
Ge 0.2770 0.5232 0.7463  6 Ru 2.52-2.57, 2 Zr 2.79-2.82
Ge 0.6726 0.1720 0.5100  3 Ru 2.61-2.63, 6 Zr 2.76-2.79
Ge 0.3274 0.8374 0.4994  3 Ru 2.61-2.63, 6 Zr 2.76-2.79
Ge 0.8380 0.8374 0.0100  3 Ru 2.61-2.63, 6 Zr 2.76-2.79
Ru 0.9063 0.2568 0.4091  4 Ge 2.52-2.62
Ru 0.0937 0.5028 0.3505  4 Ge 2.52-2.62
Ru 0.0000 0.7473 0.7473  4 Ge 2.57-2.63
Ru 0.3477 0.2568 0.8505  4 Ge 2.52-2.62
Ru 0.5000 0.7473 0.2473  4 Ge 2.57-2.63
Ru 0.6523 0.5028 0.9091  4 Ge 2.52-2.62
Zr 0.4714 0.9518 0.9803  5 Ge 2.76-2.79, 2 Ru 2.97
Zr 0.9468 0.8994 0.4525  5 Ge 2.79-2.98, 6 Ru 2.89-3.00
Zr 0.2516 0.0862 0.3347  5 Ge 2.77-2.82, 4 Ru 2.98-2.99
Zr 0.0532 0.5057 0.9525  5 Ge 2.79-2.98, 6 Ru 2.89-3.00
Zr 0.5286 0.5089 0.4803  5 Ge 2.76-2.79, 2 Ru 2.97
Zr 0.7484 0.0831 0.8347  5 Ge 2.77-2.82, 4 Ru 2.98-2.99

E_tot: -148.91 eV/cell
ΔE_f: -0.792 eV/atom
SG: Ima2, No. 46

***

3.
Below is crystalline ZrGe2Ru2 at its relaxed geometry, with properties calculated at the PBE level.

a = 7.3201 Å, b = 7.3201 Å, c = 2.9849 Å
α = 90.00°, β = 90.00°, γ = 90.00°
With the nearest neighbours (Å) after each atom.
Sites, in units of the cell vectors:
Zr 0.0000 0.0000 0.0000  4 Ru 2.83, 2 Zr 2.98, 8 Ge 3.13
Zr 0.5000 0.5000 0.0000  4 Ru 2.83, 2 Zr 2.98, 8 Ge 3.13
Ge 0.6583 0.8417 0.5000  6 Ru 2.58-2.64
Ge 0.3417 0.1583 0.5000  6 Ru 2.58-2.64
Ge 0.1583 0.6583 0.5000  6 Ru 2.58-2.64
Ge 0.8417 0.3417 0.5000  6 Ru 2.58-2.64
Ru 0.8615 0.6385 0.0000  6 Ge 2.58-2.64, 2 Zr 2.83, 1 Ru 2.87
Ru 0.6385 0.1385 0.0000  6 Ge 2.58-2.64, 2 Zr 2.83, 1 Ru 2.87
Ru 0.1385 0.3615 0.0000  6 Ge 2.58-2.64, 2 Zr 2.83, 1 Ru 2.87
Ru 0.3615 0.8615 0.0000  6 Ge 2.58-2.64, 2 Zr 2.83, 1 Ru 2.87

E_tot: -75.53 eV/cell
ΔE_f: -0.286 eV/atom
SG: P4/mbm, No. 127